[1]
Density functional theory data (PBE) for crystalline Sc2TlCu3Se5 at its relaxed geometry.

```
22
Lattice="1.9987 -7.1493 0.0000 1.9987 7.1493 0.0000 0.0000 0.0000 16.3966" Properties=species:S:1:pos:R:3 pbc="T T T"
Sc 1.9987 4.4200 9.7246
Sc 1.9987 4.4200 14.8703
Sc 1.9987 -4.4200 1.5263
Sc 1.9987 -4.4200 6.6720
Tl 1.9987 6.2384 4.0991
Tl 1.9987 -6.2384 12.2974
Cu 1.9987 2.2230 4.0991
Cu 1.9987 1.2192 8.7184
Cu 1.9987 1.2192 15.8765
Cu 1.9987 -1.2192 0.5201
Cu 1.9987 -1.2192 7.6782
Cu 1.9987 -2.2230 12.2974
Se 1.9987 4.6751 1.1742
Se 1.9987 4.6751 7.0241
Se 1.9987 3.5710 12.2974
Se 1.9987 0.8842 1.9289
Se 1.9987 0.8842 6.2694
Se 1.9987 -0.8842 10.1272
Se 1.9987 -0.8842 14.4676
Se 1.9987 -3.5710 4.0991
Se 1.9987 -4.6751 9.3725
Se 1.9987 -4.6751 15.2224
```

Properties
Crystal system ... orthorhombic
Formation energy without anion corrections ... -0.897 eV per atom
Size of the total moment ... 0.000 μB/f.u.
Space-group type ... No. 63
Calculated total energy ... -4.9638 eV per atom

[2]
Density functional theory data (PBE) for crystalline Mn2BiSeCl at its relaxed geometry.

```
5
Lattice="4.6376 0.0000 0.0000 0.0000 4.6376 0.0000 0.0000 0.0000 6.4831" Properties=species:S:1:pos:R:3 pbc="T T T"
Mn 0.0000 2.3188 0.0000
Mn 2.3188 0.0000 0.0000
Bi 0.0000 0.0000 3.2416
Se 2.3188 2.3188 0.0000
Cl 2.3188 2.3188 3.2416
```

Properties
Crystal system ... tetragonal
Formation energy without anion corrections ... 0.455 eV per atom
Size of the total moment ... 8.437 μB/f.u.
Space-group type ... No. 123
Calculated total energy ... -5.0549 eV per atom

[3]
Density functional theory data (PBE) for crystalline CsZrTlS3 at its relaxed geometry.

```
12
Lattice="3.7899 -7.6226 0.0000 3.7899 7.6226 0.0000 -1.3273 0.0000 6.8479" Properties=species:S:1:pos:R:3 pbc="T T T"
Cs 2.7945 3.8850 5.1359
Cs 3.4581 -3.8850 1.7120
Zr 3.4581 0.7299 1.7120
Zr 2.7945 -0.7299 5.1359
Tl 3.4581 6.3158 1.7120
Tl 2.7945 -6.3158 5.1359
S 1.4713 0.5079 3.3943
S 3.4581 3.1075 1.7120
S 0.8076 -0.5079 6.8182
S 5.4449 0.5079 0.0297
S 2.7945 -3.1075 5.1359
S 4.7813 -0.5079 3.4536
```

Properties
Crystal system ... monoclinic
Formation energy without anion corrections ... -1.225 eV per atom
Size of the total moment ... 0.000 μB/f.u.
Space-group type ... No. 15
Calculated total energy ... -5.2500 eV per atom

[4]
Density functional theory data (PBE) for crystalline GdHo2Ge at its relaxed geometry.

```
4
Lattice="4.6908 0.0000 0.0000 0.0000 4.6908 0.0000 0.0000 0.0000 4.6249" Properties=species:S:1:pos:R:3 pbc="T T T"
Gd 0.0000 0.0000 0.0000
Ho 0.0000 2.3454 2.3125
Ho 2.3454 0.0000 2.3125
Ge 2.3454 2.3454 0.0000
```

Properties
Crystal system ... tetragonal
Size of the total moment ... 7.505 μB/f.u.
Space-group type ... No. 123
Calculated total energy ... -7.2992 eV per atom

Look up the calculated total energy of the third one.
-5.2500 eV per atom